A relaxed structure of Rb4ErTm3Te8. Source: Alexandria via LeMat-Bulk, functional PBE.

```
16
Lattice="4.486 2.590 8.542 -4.486 2.590 8.542 0.000 -5.180 8.542" Properties=species:S:1:pos:R:3 pbc="T T T"
Rb 0.000 0.000 0.000
Rb -2.243 -1.295 8.542
Rb -2.243 1.295 17.084
Rb 0.000 2.590 8.542
Er 0.000 0.000 12.813
Tm -4.486 0.000 12.813
Tm -2.243 1.295 4.271
Tm 2.243 1.295 4.271
Te 0.000 0.000 5.952
Te -2.248 -1.298 14.498
Te 0.000 -2.596 11.129
Te -2.248 1.298 11.129
Te 2.248 -1.298 14.498
Te 0.000 2.596 14.498
Te 2.248 1.298 11.128
Te 0.000 0.000 19.674
```

Computed properties:
- magnetic moment (μB per formula unit) = 0.0
- DFT total energy (eV per cell) = -68.7